# GGA-PBE BaTl2Cr2, optimized geometry
data_BaTl2Cr2
_space_group_name_H-M_alt 'P 1'
_space_group_IT_number 1
_cell_length_a 8.660
_cell_length_b 8.660
_cell_length_c 3.310
_cell_angle_alpha 90.00
_cell_angle_beta 90.00
_cell_angle_gamma 90.00
loop_
_space_group_symop_operation_xyz
'x,y,z'
loop_
_atom_site_label
_atom_site_fract_x
_atom_site_fract_y
_atom_site_fract_z
Ba1 0.000 0.000 0.000
Ba2 0.500 0.500 0.000
Tl1 0.184 0.316 0.500
Tl2 0.316 0.816 0.500
Tl3 0.684 0.184 0.500
Tl4 0.816 0.684 0.500
Cr1 0.075 0.575 0.000
Cr2 0.425 0.075 0.000
Cr3 0.575 0.925 0.000
Cr4 0.925 0.425 0.000
# **ΔE to the lowest computed polymorph**: 136 meV per atom
# **Total magnetic moment**: 0.9 μB/cell
# **Final energy**: -4.5977 eV per atom


# GGA-PBE Ba2TlCr, optimized geometry
data_Ba2TlCr
_space_group_name_H-M_alt 'P 1'
_space_group_IT_number 1
_cell_length_a 5.985
_cell_length_b 5.985
_cell_length_c 4.234
_cell_angle_alpha 90.00
_cell_angle_beta 90.00
_cell_angle_gamma 90.00
loop_
_space_group_symop_operation_xyz
'x,y,z'
loop_
_atom_site_label
_atom_site_fract_x
_atom_site_fract_y
_atom_site_fract_z
Ba1 0.000 0.500 0.000
Ba2 0.500 0.000 0.000
Tl1 0.000 0.000 0.500
Cr1 0.500 0.500 0.500
# **ΔE to the lowest computed polymorph**: 22 meV per atom
# **Total magnetic moment**: 4.6 μB/cell
# **Final energy**: -3.7554 eV per atom


# GGA-PBE Ba2TlCr, optimized geometry
data_Ba2TlCr
_space_group_name_H-M_alt 'P 1'
_space_group_IT_number 1
_cell_length_a 8.474
_cell_length_b 8.474
_cell_length_c 8.474
_cell_angle_alpha 95.59
_cell_angle_beta 95.59
_cell_angle_gamma 143.64
loop_
_space_group_symop_operation_xyz
'x,y,z'
loop_
_atom_site_label
_atom_site_fract_x
_atom_site_fract_y
_atom_site_fract_z
Ba1 0.375 0.057 0.182
Ba2 0.807 0.625 0.682
Ba3 0.875 0.193 0.818
Ba4 0.943 0.125 0.318
Tl1 0.250 0.750 0.500
Tl2 0.500 0.500 0.000
Cr1 0.000 0.000 0.000
Cr2 0.750 0.250 0.500
# **ΔE to the lowest computed polymorph**: 518 meV per atom
# **Total magnetic moment**: 0.2 μB/cell
# **Final energy**: -3.2597 eV per atom


# GGA-PBE BaTl2Cr, optimized geometry
data_BaTl2Cr
_space_group_name_H-M_alt 'P 1'
_space_group_IT_number 1
_cell_length_a 7.897
_cell_length_b 7.897
_cell_length_c 7.897
_cell_angle_alpha 150.32
_cell_angle_beta 148.18
_cell_angle_gamma 44.07
loop_
_space_group_symop_operation_xyz
'x,y,z'
loop_
_atom_site_label
_atom_site_fract_x
_atom_site_fract_y
_atom_site_fract_z
Ba1 0.000 0.000 0.000
Tl1 0.368 0.368 0.000
Tl2 0.703 0.203 0.500
Cr1 0.221 0.721 0.500
# **Total magnetic moment**: 4.2 μB/cell
# **Final energy**: -3.8346 eV per atom


# GGA-PBE BaTlCr, optimized geometry
data_BaTlCr
_space_group_name_H-M_alt 'P 1'
_space_group_IT_number 1
_cell_length_a 5.125
_cell_length_b 5.125
_cell_length_c 4.353
_cell_angle_alpha 90.00
_cell_angle_beta 90.00
_cell_angle_gamma 120.00
loop_
_space_group_symop_operation_xyz
'x,y,z'
loop_
_atom_site_label
_atom_site_fract_x
_atom_site_fract_y
_atom_site_fract_z
Ba1 0.000 0.000 0.000
Tl1 0.333 0.667 0.500
Cr1 0.667 0.333 0.500
# **ΔE to the lowest computed polymorph**: 0 meV per atom
# **Total magnetic moment**: 4.2 μB/cell
# **Final energy**: -4.3532 eV per atom


# GGA-PBE BaTlCr3, optimized geometry
data_BaTlCr3
_space_group_name_H-M_alt 'P 1'
_space_group_IT_number 1
_cell_length_a 5.390
_cell_length_b 5.390
_cell_length_c 5.390
_cell_angle_alpha 90.00
_cell_angle_beta 90.00
_cell_angle_gamma 90.00
loop_
_space_group_symop_operation_xyz
'x,y,z'
loop_
_atom_site_label
_atom_site_fract_x
_atom_site_fract_y
_atom_site_fract_z
Ba1 0.000 0.000 0.000
Tl1 0.500 0.500 0.500
Cr1 0.000 0.500 0.500
Cr2 0.500 0.000 0.500
Cr3 0.500 0.500 0.000
# **ΔE to the lowest computed polymorph**: 0 meV per atom
# **Total magnetic moment**: 14.2 μB/cell
# **Final energy**: -5.5331 eV per atom


# GGA-PBE BaTlCr, optimized geometry
data_BaTlCr
_space_group_name_H-M_alt 'P 1'
_space_group_IT_number 1
_cell_length_a 6.734
_cell_length_b 6.734
_cell_length_c 6.734
_cell_angle_alpha 146.11
_cell_angle_beta 146.11
_cell_angle_gamma 48.68
loop_
_space_group_symop_operation_xyz
'x,y,z'
loop_
_atom_site_label
_atom_site_fract_x
_atom_site_fract_y
_atom_site_fract_z
Ba1 0.000 0.000 0.000
Tl1 0.703 0.703 0.000
Cr1 0.293 0.293 0.000
# **ΔE to the lowest computed polymorph**: 41 meV per atom
# **Total magnetic moment**: 4.6 μB/cell
# **Final energy**: -4.3127 eV per atom


# GGA-PBE BaTlCr3, optimized geometry
data_BaTlCr3
_space_group_name_H-M_alt 'P 1'
_space_group_IT_number 1
_cell_length_a 5.306
_cell_length_b 5.306
_cell_length_c 5.306
_cell_angle_alpha 90.00
_cell_angle_beta 90.00
_cell_angle_gamma 90.00
loop_
_space_group_symop_operation_xyz
'x,y,z'
loop_
_atom_site_label
_atom_site_fract_x
_atom_site_fract_y
_atom_site_fract_z
Ba1 0.000 0.000 0.000
Tl1 0.500 0.500 0.500
Cr1 0.000 0.000 0.500
Cr2 0.000 0.500 0.000
Cr3 0.500 0.000 0.000
# **ΔE to the lowest computed polymorph**: 1057 meV per atom
# **Total magnetic moment**: 11.7 μB/cell
# **Final energy**: -4.4760 eV per atom